(1)
ZrIrPb2: optimized geometry, PBEsol.

Computed properties:
ΔE to the lowest computed polymorph	111	meV per atom
ΔE_f	0.181	eV/atom
space-group type	No. 123

POSCAR file:
```
ZrIrPb2
1.0
-0.239 -3.337 0.240
2.232 -0.338 -2.481
5.412 -0.036 4.875
Ir Pb Zr
1 2 1
direct
0.500 0.500 0.500
0.000 0.000 0.724
0.000 0.000 0.276
0.500 0.500 0.000
```

(2)
Tl2AgOs: optimized geometry, PBEsol.

Computed properties:
ΔE to the lowest computed polymorph	42	meV per atom
ΔE_f	0.769	eV/atom
space-group type	No. 139

POSCAR file:
```
Tl2AgOs
1.0
4.725 0.000 0.000
-2.363 4.108 0.106
0.000 2.616 3.935
Ag Os Tl
1 1 2
direct
0.500 0.000 0.500
0.000 0.000 0.000
0.250 0.500 0.250
0.750 0.500 0.750
```

(3)
BaCuH3: optimized geometry, PBEsol.

Computed properties:
space-group type	No. 221
E_tot	-17.95	eV/f.u.

POSCAR file:
```
BaCuH3
1.0
3.865 0.000 0.000
0.000 3.865 0.000
0.000 0.000 3.865
H Ba Cu
3 1 1
direct
0.000 0.500 0.000
0.000 0.000 0.500
0.500 0.000 0.000
0.500 0.500 0.500
0.000 0.000 0.000
```

(4)
Be2TeRhPb: optimized geometry, PBEsol.

Computed properties:
space-group type	No. 123
raw formation energy	1.0772	eV/atom

POSCAR file:
```
Be2TeRhPb
1.0
4.418 0.000 0.000
0.000 4.418 0.000
0.000 0.000 5.318
Pb Be Te Rh
1 2 1 1
direct
0.000 0.000 0.000
0.000 0.500 0.000
0.500 0.000 0.000
0.500 0.500 0.500
0.000 0.000 0.500
```

(5)
LaBe: optimized geometry, PBEsol.

Computed properties:
ΔE to the lowest computed polymorph	146	meV per atom
ΔE_f	0.592	eV/atom
space-group type	No. 166

POSCAR file:
```
LaBe
1.0
3.599 0.000 0.000
1.800 3.117 0.000
1.800 1.039 4.323
Be La
1 1
direct
0.000 0.000 0.000
0.500 0.500 0.500
```

(6)
Hf5Ga3: optimized geometry, PBEsol.

Computed properties:
ΔE_f	-0.483	eV/atom
space-group type	No. 193

POSCAR file:
```
Hf5Ga3
1.0
-2.212 4.114 -3.107
-1.000 -5.061 -5.990
-5.731 0.964 5.359
Hf Ga
10 6
direct
0.500 0.667 0.333
0.500 0.333 0.667
0.000 0.333 0.667
0.000 0.667 0.333
0.750 0.241 0.241
0.750 0.000 0.759
0.750 0.759 0.000
0.250 0.759 0.759
0.250 0.000 0.241
0.250 0.241 0.000
0.750 0.606 0.606
0.750 0.000 0.394
0.750 0.394 0.000
0.250 0.394 0.394
0.250 0.000 0.606
0.250 0.606 0.000
```

Theoretical density / g/cm³: 14.14; 15.64; 5.86; 7.29; 5.06; 12.05